(1)
Tb4YSc6 after structural relaxation, computed with GGA-PBE.

Structure (POSCAR):
```
Tb4YSc6
1.0
-2.637 -1.134 4.199
-6.567 -2.557 -4.815
6.042 -5.578 2.288
Tb Sc Y
4 6 1
direct
0.500 0.805 0.195
0.000 0.333 0.667
0.500 0.390 0.195
0.500 0.805 0.610
0.000 0.539 0.461
0.500 0.571 0.785
0.500 0.215 0.785
0.500 0.215 0.429
0.000 0.923 0.461
0.000 0.539 0.077
0.000 0.000 0.000
```

V: 321 Å³ per cell
E_tot: -59.26 eV for the cell shown
DFT formation energy: 338 meV/atom

(2)
TbY2Sc after structural relaxation, computed with GGA-PBE.

Structure (POSCAR):
```
TbY2Sc
1.0
5.568 0.000 0.000
2.784 4.822 0.000
2.784 1.607 4.546
Y Tb Sc
2 1 1
direct
0.750 0.750 0.750
0.250 0.250 0.250
0.000 0.000 0.000
0.500 0.500 0.500
```

V: 122 Å³ per cell
E_tot: -23.33 eV for the cell shown
DFT formation energy: 140 meV/atom

(3)
Tb2Y8Sc3 after structural relaxation, computed with GGA-PBE.

Structure (POSCAR):
```
Tb2Y8Sc3
1.0
-3.422 1.369 -5.463
-7.367 0.417 4.719
5.337 6.648 -0.384
Y Sc Tb
8 3 2
direct
0.574 0.573 0.779
0.793 0.192 0.384
0.207 0.808 0.616
0.574 0.206 0.779
0.426 0.427 0.221
0.426 0.794 0.221
0.115 0.412 0.824
0.885 0.588 0.176
0.000 0.837 0.000
0.000 0.163 0.000
0.500 0.000 0.000
0.284 0.200 0.400
0.716 0.800 0.600
```

V: 418 Å³ per cell
E_tot: -76.66 eV for the cell shown
DFT formation energy: 255 meV/atom

(4)
Tb2Y5Sc2 after structural relaxation, computed with GGA-PBE.

Structure (POSCAR):
```
Tb2Y5Sc2
1.0
-2.333 1.964 1.812
-8.587 -3.954 -3.296
-4.566 -6.600 4.749
Sc Y Tb
2 5 2
direct
0.482 0.336 0.700
0.518 0.664 0.300
0.816 0.333 0.034
0.000 0.000 0.000
0.665 0.005 0.664
0.184 0.667 0.966
0.335 0.995 0.336
0.858 0.657 0.627
0.142 0.343 0.373
```

V: 274 Å³ per cell
E_tot: -54.04 eV for the cell shown
DFT formation energy: 22 meV/atom

(5)
TbY2Sc after structural relaxation, computed with GGA-PBE.

Structure (POSCAR):
```
TbY2Sc
1.0
-3.183 -1.140 -0.940
0.930 -3.280 0.829
-3.207 1.406 9.156
Y Tb Sc
2 1 1
direct
0.000 0.000 0.239
0.000 0.000 0.761
0.500 0.500 0.500
0.500 0.500 0.000
```

V: 121 Å³ per cell
E_tot: -23.71 eV for the cell shown
DFT formation energy: 45 meV/atom

(6)
Tb5Y6Sc after structural relaxation, computed with GGA-PBE.

Structure (POSCAR):
```
Tb5Y6Sc
1.0
4.804 0.017 -1.398
-1.379 8.793 -4.580
0.130 -0.809 9.345
Tb Y Sc
5 6 1
direct
0.665 0.165 0.330
0.000 0.500 0.000
0.335 0.835 0.670
0.334 0.334 0.668
0.666 0.666 0.332
0.166 0.918 0.331
0.834 0.587 0.669
0.500 0.754 0.000
0.834 0.082 0.669
0.166 0.413 0.331
0.500 0.246 0.000
0.000 0.000 0.000
```

V: 377 Å³ per cell
E_tot: -67.89 eV for the cell shown
DFT formation energy: 31 meV/atom

(7)
TbY12Sc2 after structural relaxation, computed with GGA-PBE.

Structure (POSCAR):
```
TbY12Sc2
1.0
5.838 -0.961 1.015
-0.961 5.838 1.015
2.971 2.971 30.232
Y Tb Sc
24 2 4
direct
0.386 0.386 0.065
0.729 0.229 0.869
0.560 0.560 0.680
0.271 0.771 0.131
0.940 0.940 0.320
0.156 0.156 0.196
0.771 0.271 0.131
0.832 0.332 0.382
0.783 0.783 0.553
0.844 0.844 0.804
0.114 0.114 0.935
0.668 0.168 0.618
0.717 0.717 0.447
0.168 0.668 0.618
0.656 0.656 0.196
0.229 0.729 0.869
0.283 0.283 0.553
0.332 0.832 0.382
0.440 0.440 0.320
0.344 0.344 0.804
0.060 0.060 0.680
0.614 0.614 0.935
0.886 0.886 0.065
0.217 0.217 0.447
0.000 0.500 0.000
0.500 0.000 0.000
0.951 0.451 0.742
0.049 0.549 0.258
0.451 0.951 0.742
0.549 0.049 0.258
```

V: 961 Å³ per cell
E_tot: -185.95 eV for the cell shown
DFT formation energy: 126 meV/atom

(8)
Tb3Y12Sc after structural relaxation, computed with GGA-PBE.

Structure (POSCAR):
```
Tb3Y12Sc
1.0
5.026 0.000 0.000
0.000 5.026 0.000
0.000 0.000 20.070
Sc Y Tb
1 12 3
direct
0.000 0.000 0.000
0.500 0.500 0.753
0.500 0.000 0.879
0.000 0.500 0.121
0.000 0.500 0.626
0.000 0.500 0.374
0.500 0.000 0.626
0.500 0.500 0.500
0.000 0.500 0.879
0.500 0.500 0.000
0.500 0.500 0.247
0.500 0.000 0.374
0.500 0.000 0.121
0.000 0.000 0.500
0.000 0.000 0.248
0.000 0.000 0.752
```

V: 507 Å³ per cell
E_tot: -97.32 eV for the cell shown
DFT formation energy: 30 meV/atom

(9)
TbY3Sc7 after structural relaxation, computed with GGA-PBE.

Structure (POSCAR):
```
TbY3Sc7
1.0
5.438 -0.206 -0.264
-2.396 7.549 1.168
-2.396 -0.697 7.607
Sc Tb Y
7 1 3
direct
0.283 0.974 0.592
0.000 0.500 0.500
0.283 0.592 0.974
0.717 0.026 0.408
0.790 0.791 0.791
0.717 0.408 0.026
0.210 0.209 0.209
0.500 0.500 0.500
0.000 0.789 0.211
0.000 0.211 0.789
0.500 0.000 0.000
```

V: 308 Å³ per cell
E_tot: -65.01 eV for the cell shown
DFT formation energy: 303 meV/atom

(10)
Tb8Y4Sc after structural relaxation, computed with GGA-PBE.

Structure (POSCAR):
```
Tb8Y4Sc
1.0
9.632 -0.001 -5.197
-6.218 9.007 -0.001
-2.341 -1.616 7.186
Tb Sc Y
8 1 4
direct
0.002 0.756 0.758
0.998 0.244 0.242
0.998 0.754 0.242
0.512 0.756 0.758
0.488 0.244 0.732
0.488 0.244 0.242
0.512 0.756 0.268
0.002 0.246 0.758
0.000 0.500 0.500
0.500 0.000 0.000
0.000 0.000 0.000
0.000 0.500 0.000
0.500 0.500 0.000
```

V: 462 Å³ per cell
E_tot: -62.41 eV for the cell shown
DFT formation energy: 525 meV/atom

(11)
Tb3Y8Sc4 after structural relaxation, computed with GGA-PBE.

Structure (POSCAR):
```
Tb3Y8Sc4
1.0
6.606 -0.238 -0.341
-3.425 8.384 1.619
-3.425 -1.392 8.425
Y Sc Tb
8 4 3
direct
0.000 0.705 0.295
0.755 0.297 0.297
0.157 0.232 0.232
0.245 0.703 0.703
0.000 0.295 0.705
0.500 0.762 0.238
0.843 0.768 0.768
0.500 0.238 0.762
0.500 0.000 0.000
0.000 0.000 0.000
0.000 0.000 0.500
0.000 0.500 0.000
0.500 0.500 0.000
0.500 0.500 0.500
0.500 0.000 0.500
```

V: 465 Å³ per cell
E_tot: -85.09 eV for the cell shown
DFT formation energy: 389 meV/atom

(12)
Tb4YSc5 after structural relaxation, computed with GGA-PBE.

Structure (POSCAR):
```
Tb4YSc5
1.0
6.002 0.000 0.000
3.001 6.936 0.000
3.001 0.000 6.936
Sc Tb Y
5 4 1
direct
0.799 0.374 0.916
0.715 0.084 0.374
0.089 0.626 0.084
0.174 0.916 0.626
0.697 0.000 0.000
0.503 0.603 0.295
0.106 0.295 0.397
0.798 0.705 0.603
0.401 0.397 0.705
0.229 0.000 0.000
```

V: 289 Å³ per cell
E_tot: -53.62 eV for the cell shown
DFT formation energy: 303 meV/atom